[1]
# Tm2GaNi2 meta-GGA SCAN single point on PBEsol structure
# - Energy relative to the elements: -0.675 eV/atom
data_Tm2GaNi2
_cell_length_a 4.1127
_cell_length_b 5.2161
_cell_length_c 7.9625
_cell_angle_alpha 90.00
_cell_angle_beta 90.00
_cell_angle_gamma 90.00
_space_group_name_H-M_alt 'I m m m'
_space_group_IT_number 71
_space_group_name_Hall '-I 2 2'
loop_
_atom_site_label
_atom_site_fract_x
_atom_site_fract_y
_atom_site_fract_z
_atom_site_occupancy
Tm1 0.0000 0.0000 0.2018 1
Ga1 0.0000 0.5000 0.0000 1
Ni1 0.0000 0.2676 0.5000 1



[2]
# Rb2CuPdF6 meta-GGA SCAN single point on PBEsol structure
# - Raw formation energy: -2.211 eV per atom
data_Rb2CuPdF6
_cell_length_a 8.2919
_cell_length_b 8.2919
_cell_length_c 8.2919
_cell_angle_alpha 90.00
_cell_angle_beta 90.00
_cell_angle_gamma 90.00
_space_group_name_H-M_alt 'F m -3 m'
_space_group_IT_number 225
_space_group_name_Hall '-F 4 2 3'
loop_
_atom_site_label
_atom_site_fract_x
_atom_site_fract_y
_atom_site_fract_z
_atom_site_occupancy
Rb1 0.2500 0.2500 0.2500 1
Cu1 0.0000 0.0000 0.0000 1
Pd1 0.0000 0.0000 0.5000 1
F1 0.0000 0.0000 0.2438 1



[3]
# MnTlC3 meta-GGA SCAN single point on PBEsol structure
# - Energy relative to the elements: 3.389 eV/atom
data_MnTlC3
_cell_length_a 4.3112
_cell_length_b 4.3112
_cell_length_c 4.3112
_cell_angle_alpha 90.00
_cell_angle_beta 90.00
_cell_angle_gamma 90.00
_space_group_name_H-M_alt 'P m -3 m'
_space_group_IT_number 221
_space_group_name_Hall '-P 4 2 3'
loop_
_atom_site_label
_atom_site_fract_x
_atom_site_fract_y
_atom_site_fract_z
_atom_site_occupancy
Mn1 0.0000 0.0000 0.0000 1
Tl1 0.5000 0.5000 0.5000 1
C1 0.0000 0.5000 0.5000 1



[4]
# YTeOs2 meta-GGA SCAN single point on PBEsol structure
# - Raw formation energy: 0.270 eV per atom
data_YTeOs2
_cell_length_a 3.3417
_cell_length_b 3.3417
_cell_length_c 6.5473
_cell_angle_alpha 90.00
_cell_angle_beta 90.00
_cell_angle_gamma 90.00
_space_group_name_H-M_alt 'P 4/m m m'
_space_group_IT_number 123
_space_group_name_Hall '-P 4 2'
loop_
_atom_site_label
_atom_site_fract_x
_atom_site_fract_y
_atom_site_fract_z
_atom_site_occupancy
Y1 0.0000 0.0000 0.0000 1
Te1 0.0000 0.0000 0.5000 1
Os1 0.5000 0.5000 0.2641 1



[5]
# ZrZn2Pt meta-GGA SCAN single point on PBEsol structure
# - Energy relative to the elements: -0.244 eV/atom
data_ZrZn2Pt
_cell_length_a 2.9049
_cell_length_b 2.9049
_cell_length_c 26.5925
_cell_angle_alpha 90.00
_cell_angle_beta 90.00
_cell_angle_gamma 120.00
_space_group_name_H-M_alt 'R 3 m'
_space_group_IT_number 160
_space_group_name_Hall 'R 3 -2"'
loop_
_atom_site_label
_atom_site_fract_x
_atom_site_fract_y
_atom_site_fract_z
_atom_site_occupancy
Zr1 0.0000 0.0000 0.0000 1
Zn1 0.0000 0.0000 0.5019 1
Zn2 0.0000 0.0000 0.7572 1
Pt1 0.0000 0.0000 0.2465 1



[6]
# ScRuPb2 meta-GGA SCAN single point on PBEsol structure
# - ΔE to the lowest computed polymorph: 21.1 meV/atom
# - Energy relative to the elements: 0.060 eV/atom
data_ScRuPb2
_cell_length_a 4.4224
_cell_length_b 4.4224
_cell_length_c 4.1490
_cell_angle_alpha 90.00
_cell_angle_beta 90.00
_cell_angle_gamma 90.00
_space_group_name_H-M_alt 'P 4/m m m'
_space_group_IT_number 123
_space_group_name_Hall '-P 4 2'
loop_
_atom_site_label
_atom_site_fract_x
_atom_site_fract_y
_atom_site_fract_z
_atom_site_occupancy
Sc1 0.0000 0.0000 0.0000 1
Ru1 0.5000 0.5000 0.0000 1
Pb1 0.0000 0.5000 0.5000 1



[7]
# MgAsPt meta-GGA SCAN single point on PBEsol structure
# - Energy relative to the elements: -0.658 eV/atom
data_MgAsPt
_cell_length_a 4.2645
_cell_length_b 4.2645
_cell_length_c 3.2731
_cell_angle_alpha 90.00
_cell_angle_beta 90.00
_cell_angle_gamma 120.00
_space_group_name_H-M_alt 'P -6 m 2'
_space_group_IT_number 187
_space_group_name_Hall 'P -6 2'
loop_
_atom_site_label
_atom_site_fract_x
_atom_site_fract_y
_atom_site_fract_z
_atom_site_occupancy
Mg1 0.0000 0.0000 0.0000 1
As1 0.3333 0.6667 0.5000 1
Pt1 0.6667 0.3333 0.5000 1



[8]
# KY4Ta meta-GGA SCAN single point on PBEsol structure
# - Energy relative to the elements: 1.035 eV/atom
data_KY4Ta
_cell_length_a 9.0013
_cell_length_b 9.0013
_cell_length_c 9.0013
_cell_angle_alpha 90.00
_cell_angle_beta 90.00
_cell_angle_gamma 90.00
_space_group_name_H-M_alt 'F -4 3 m'
_space_group_IT_number 216
_space_group_name_Hall 'F -4 2 3'
loop_
_atom_site_label
_atom_site_fract_x
_atom_site_fract_y
_atom_site_fract_z
_atom_site_occupancy
K1 0.0000 0.0000 0.0000 1
Y1 0.1212 0.1212 0.3788 1
Ta1 0.2500 0.2500 0.7500 1



[9]
# BaSeI2 meta-GGA SCAN single point on PBEsol structure
# - Raw formation energy: -0.882 eV per atom
data_BaSeI2
_cell_length_a 4.7236
_cell_length_b 4.7236
_cell_length_c 25.5133
_cell_angle_alpha 90.00
_cell_angle_beta 90.00
_cell_angle_gamma 90.00
_space_group_name_H-M_alt 'I -4 2 d'
_space_group_IT_number 122
_space_group_name_Hall 'I -4 2bw'
loop_
_atom_site_label
_atom_site_fract_x
_atom_site_fract_y
_atom_site_fract_z
_atom_site_occupancy
Ba1 0.0000 0.0000 0.0000 1
Se1 0.0000 0.0000 0.5000 1
I1 0.2489 0.2500 0.6250 1



[10]
# Tb6Cu23 meta-GGA SCAN single point on PBEsol structure
# - Energy relative to the elements: -0.202 eV/atom
data_Tb6Cu23
_cell_length_a 11.9461
_cell_length_b 11.9461
_cell_length_c 11.9461
_cell_angle_alpha 90.00
_cell_angle_beta 90.00
_cell_angle_gamma 90.00
_space_group_name_H-M_alt 'F m -3 m'
_space_group_IT_number 225
_space_group_name_Hall '-F 4 2 3'
loop_
_atom_site_label
_atom_site_fract_x
_atom_site_fract_y
_atom_site_fract_z
_atom_site_occupancy
Tb1 0.0000 0.0000 0.2135 1
Cu1 0.0000 0.0000 0.5000 1
Cu2 0.0000 0.2500 0.2500 1
Cu3 0.1222 0.1222 0.3778 1
Cu4 0.1743 0.1743 0.1743 1



[11]
# ZrScCu2 meta-GGA SCAN single point on PBEsol structure
# - ΔE to the lowest computed polymorph: 10.1 meV/atom
# - Energy relative to the elements: -0.254 eV/atom
data_ZrScCu2
_cell_length_a 3.1937
_cell_length_b 3.1937
_cell_length_c 6.5196
_cell_angle_alpha 90.00
_cell_angle_beta 90.00
_cell_angle_gamma 90.00
_space_group_name_H-M_alt 'P 4/m m m'
_space_group_IT_number 123
_space_group_name_Hall '-P 4 2'
loop_
_atom_site_label
_atom_site_fract_x
_atom_site_fract_y
_atom_site_fract_z
_atom_site_occupancy
Zr1 0.0000 0.0000 0.0000 1
Sc1 0.0000 0.0000 0.5000 1
Cu1 0.5000 0.5000 0.2541 1



[12]
# Tl2CrMo meta-GGA SCAN single point on PBEsol structure
# - ΔE to the lowest computed polymorph: 0.0 meV/atom
# - Energy relative to the elements: 0.639 eV/atom
data_Tl2CrMo
_cell_length_a 6.6756
_cell_length_b 6.6756
_cell_length_c 6.6756
_cell_angle_alpha 90.00
_cell_angle_beta 90.00
_cell_angle_gamma 90.00
_space_group_name_H-M_alt 'F m -3 m'
_space_group_IT_number 225
_space_group_name_Hall '-F 4 2 3'
loop_
_atom_site_label
_atom_site_fract_x
_atom_site_fract_y
_atom_site_fract_z
_atom_site_occupancy
Tl1 0.2500 0.2500 0.2500 1
Cr1 0.0000 0.0000 0.0000 1
Mo1 0.0000 0.0000 0.5000 1



[13]
# Cu2PbIO meta-GGA SCAN single point on PBEsol structure
# - Raw formation energy: 1.051 eV per atom
data_Cu2PbIO
_cell_length_a 4.8949
_cell_length_b 4.8949
_cell_length_c 6.1612
_cell_angle_alpha 90.00
_cell_angle_beta 90.00
_cell_angle_gamma 90.00
_space_group_name_H-M_alt 'P 4/m m m'
_space_group_IT_number 123
_space_group_name_Hall '-P 4 2'
loop_
_atom_site_label
_atom_site_fract_x
_atom_site_fract_y
_atom_site_fract_z
_atom_site_occupancy
Cu1 0.0000 0.5000 0.0000 1
Pb1 0.0000 0.0000 0.0000 1
I1 0.0000 0.0000 0.5000 1
O1 0.5000 0.5000 0.5000 1



[14]
# NdZn meta-GGA SCAN single point on PBEsol structure
# - Energy relative to the elements: -0.374 eV/atom
data_NdZn
_cell_length_a 3.6113
_cell_length_b 3.6113
_cell_length_c 3.6113
_cell_angle_alpha 90.00
_cell_angle_beta 90.00
_cell_angle_gamma 90.00
_space_group_name_H-M_alt 'P m -3 m'
_space_group_IT_number 221
_space_group_name_Hall '-P 4 2 3'
loop_
_atom_site_label
_atom_site_fract_x
_atom_site_fract_y
_atom_site_fract_z
_atom_site_occupancy
Nd1 0.0000 0.0000 0.0000 1
Zn1 0.5000 0.5000 0.5000 1



[15]
# Na2ZrRe meta-GGA SCAN single point on PBEsol structure
# - Energy relative to the elements: 1.419 eV/atom
data_Na2ZrRe
_cell_length_a 6.7283
_cell_length_b 6.7283
_cell_length_c 6.7283
_cell_angle_alpha 90.00
_cell_angle_beta 90.00
_cell_angle_gamma 90.00
_space_group_name_H-M_alt 'F m -3 m'
_space_group_IT_number 225
_space_group_name_Hall '-F 4 2 3'
loop_
_atom_site_label
_atom_site_fract_x
_atom_site_fract_y
_atom_site_fract_z
_atom_site_occupancy
Na1 0.2500 0.2500 0.2500 1
Zr1 0.0000 0.0000 0.0000 1
Re1 0.0000 0.0000 0.5000 1



[16]
# Nd2TeS2 meta-GGA SCAN single point on PBEsol structure
# - Raw formation energy: -2.148 eV per atom
data_Nd2TeS2
_cell_length_a 4.5956
_cell_length_b 4.5956
_cell_length_c 7.6306
_cell_angle_alpha 90.00
_cell_angle_beta 90.00
_cell_angle_gamma 120.00
_space_group_name_H-M_alt 'P -3 m 1'
_space_group_IT_number 164
_space_group_name_Hall '-P 3 2"'
loop_
_atom_site_label
_atom_site_fract_x
_atom_site_fract_y
_atom_site_fract_z
_atom_site_occupancy
Nd1 0.3333 0.6667 0.2661 1
Te1 0.0000 0.0000 0.0000 1
S1 0.3333 0.6667 0.6358 1



[17]
# CaAgSe2 meta-GGA SCAN single point on PBEsol structure
# - Raw formation energy: -1.008 eV per atom
data_CaAgSe2
_cell_length_a 3.8755
_cell_length_b 4.7310
_cell_length_c 5.3327
_cell_angle_alpha 90.00
_cell_angle_beta 105.04
_cell_angle_gamma 90.00
_space_group_name_H-M_alt 'P 1 m 1'
_space_group_IT_number 6
loop_
_space_group_symop_operation_xyz
'x,y,z'
'x,-y,z'
loop_
_atom_site_label
_atom_site_fract_x
_atom_site_fract_y
_atom_site_fract_z
_atom_site_occupancy
Ca1 0.0000 0.0000 0.0000 1
Ag1 0.5390 0.5000 0.5485 1
Se1 0.3309 0.0000 0.5558 1
Se2 0.5254 0.5000 0.0519 1



[18]
# BeMo2Br meta-GGA SCAN single point on PBEsol structure
# - ΔE to the lowest computed polymorph: 558.0 meV/atom
# - Raw formation energy: 0.878 eV per atom
data_BeMo2Br
_cell_length_a 3.0386
_cell_length_b 4.4023
_cell_length_c 8.6407
_cell_angle_alpha 90.00
_cell_angle_beta 90.00
_cell_angle_gamma 90.00
_space_group_name_H-M_alt 'I m m 2'
_space_group_IT_number 44
loop_
_space_group_symop_operation_xyz
'x,y,z'
'-x,-y,z'
'-x,y,z'
'x,-y,z'
'x+1/2,y+1/2,z+1/2'
'-x+1/2,-y+1/2,z+1/2'
'-x+1/2,y+1/2,z+1/2'
'x+1/2,-y+1/2,z+1/2'
loop_
_atom_site_label
_atom_site_fract_x
_atom_site_fract_y
_atom_site_fract_z
_atom_site_occupancy
Be1 0.0000 0.0000 0.0000 1
Mo1 0.0000 0.0000 0.4993 1
Mo2 0.0000 0.5000 0.7173 1
Br1 0.0000 0.5000 0.2391 1



[19]
# AlBSN2 meta-GGA SCAN single point on PBEsol structure
# - Raw formation energy: 1.361 eV per atom
data_AlBSN2
_cell_length_a 3.5022
_cell_length_b 3.5022
_cell_length_c 5.3803
_cell_angle_alpha 90.00
_cell_angle_beta 90.00
_cell_angle_gamma 90.00
_space_group_name_H-M_alt 'P 4/m m m'
_space_group_IT_number 123
_space_group_name_Hall '-P 4 2'
loop_
_atom_site_label
_atom_site_fract_x
_atom_site_fract_y
_atom_site_fract_z
_atom_site_occupancy
Al1 0.0000 0.0000 0.0000 1
B1 0.5000 0.5000 0.5000 1
S1 0.0000 0.0000 0.5000 1
N1 0.0000 0.5000 0.0000 1



[20]
# Li3Mg meta-GGA SCAN single point on PBEsol structure
# - Energy relative to the elements: -0.025 eV/atom
data_Li3Mg
_cell_length_a 2.9435
_cell_length_b 4.8646
_cell_length_c 5.6503
_cell_angle_alpha 90.00
_cell_angle_beta 98.71
_cell_angle_gamma 90.00
_space_group_name_H-M_alt 'P 1 2/m 1'
_space_group_IT_number 10
loop_
_space_group_symop_operation_xyz
'x,y,z'
'-x,-y,-z'
'-x,y,-z'
'x,-y,z'
loop_
_atom_site_label
_atom_site_fract_x
_atom_site_fract_y
_atom_site_fract_z
_atom_site_occupancy
Li1 0.0000 0.0000 0.0000 1
Li2 0.1967 0.5000 0.7496 1
Mg1 0.5000 0.0000 0.5000 1